A relaxed Er2InSi2Pd5 crystal, computed with PBE.

abc: 3.5916 9.9996 9.9996
angles: 90.00 90.00 90.00
Fractional positions:
Er 0.0000 0.6758 0.1758
Er 0.0000 0.3242 0.8242
Er 0.0000 0.1758 0.3242
Er 0.0000 0.8242 0.6758
In 0.0000 0.0000 0.0000
In 0.0000 0.5000 0.5000
Si 0.0000 0.1232 0.6232
Si 0.0000 0.8768 0.3768
Si 0.0000 0.6232 0.8768
Si 0.0000 0.3768 0.1232
Pd 0.5000 0.2164 0.0619
Pd 0.5000 0.7836 0.9381
Pd 0.5000 0.0619 0.7836
Pd 0.5000 0.7164 0.4381
Pd 0.5000 0.9381 0.2164
Pd 0.5000 0.2836 0.5619
Pd 0.5000 0.5619 0.7164
Pd 0.5000 0.4381 0.2836
Pd 0.5000 0.5000 0.0000
Pd 0.5000 0.0000 0.5000

Results
total DFT energy (no corrections): -112.5 eV per cell

***

A relaxed Sr2TbSnO6 crystal, computed with PBE.

abc: 5.9222 6.0369 8.4218
angles: 90.00 90.15 90.00
Fractional positions:
Sr 0.0123 0.9574 0.2505
Sr 0.5123 0.5426 0.7505
Sr 0.9877 0.0426 0.7495
Sr 0.4877 0.4574 0.2495
Tb 0.5000 0.0000 0.0000
Tb 0.0000 0.5000 0.5000
Sn 0.5000 0.0000 0.5000
Sn 0.0000 0.5000 0.0000
O 0.2806 0.7012 0.0459
O 0.7806 0.7988 0.5459
O 0.7194 0.2988 0.9541
O 0.2194 0.2012 0.4541
O 0.3018 0.7214 0.4495
O 0.8018 0.7786 0.9495
O 0.6982 0.2786 0.5505
O 0.1982 0.2214 0.0505
O 0.9089 0.5327 0.2391
O 0.4089 0.9673 0.7391
O 0.0911 0.4673 0.7609
O 0.5911 0.0327 0.2609

Results
energy relative to the lowest polymorph listed for this composition: 0 meV/atom

***

A relaxed MoIrRh2 crystal, computed with PBE.

abc: 9.1149 9.1149 9.1149
angles: 17.32 17.32 17.32
Fractional positions:
Ir 0.7500 0.7500 0.7500
Mo 0.2500 0.2500 0.2500
Rh 0.9995 0.9995 0.9995
Rh 0.5005 0.5005 0.5005

Results
energy relative to the lowest polymorph listed for this composition: 253 meV/atom
E_form: -12 kJ/mol of formula units

***

A relaxed K2LiSb crystal, computed with PBE.

abc: 5.4456 3.9455 7.7086
angles: 59.29 90.00 90.00
Fractional positions:
K 0.0000 0.0218 0.9810
K 0.0000 0.4782 0.5190
Li 0.5000 0.2500 0.2500
Sb 0.5000 0.7500 0.7500

Results
energy relative to the lowest polymorph listed for this composition: 372 meV/atom

***

A relaxed AcPmHoAl crystal, computed with PBE.

abc: 5.5474 5.5474 5.5474
angles: 60.00 60.00 60.00
Fractional positions:
Ac 0.2500 0.2500 0.2500
Al 0.7500 0.7500 0.7500
Ho 0.5000 0.5000 0.5000
Pm 0.0000 0.0000 0.0000

Results
E_form: 27 kJ/mol of formula units

***

A relaxed LiAc2Rh4Pb3 crystal, computed with PBE.

abc: 4.3303 4.3303 12.4285
angles: 90.00 90.00 90.00
Fractional positions:
Li 0.5000 0.5000 0.5000
Ac 0.5000 0.0000 0.2692
Ac 0.0000 0.5000 0.7308
Rh 0.5000 0.5000 0.0000
Rh 0.0000 0.0000 0.0000
Rh 0.5000 0.0000 0.6494
Rh 0.0000 0.5000 0.3506
Pb 0.0000 0.0000 0.5000
Pb 0.5000 0.0000 0.8721
Pb 0.0000 0.5000 0.1279

Results
E_form: -407 kJ/mol of formula units